No. 1
The following is a PBE calculation of crystalline CaTa at its relaxed geometry, from Alexandria via LeMat-Bulk.

Lattice parameters (Å, degrees): 3.6574 5.1999 10.6763 90.00 90.00 90.00
Last column: nearest neighbours and their distance in Å.
Space group Cmme (No. 67)
Inequivalent atoms, fractional coordinates:
Ca  0.0000  0.2500  0.1590  4 Ca 3.18, 2 Ta 3.24
Ta  0.0000  0.2500  0.5908  2 Ta 2.67

E above lowest polymorph ... 168.4 meV per atom
DOS at the Fermi energy ... 1.3078 states/eV/atom
Total magnetization ... 0.00 μB/f.u.
E_form ... 50.6 kJ/mol of atoms

No. 2
The following is a PBE calculation of crystalline Mg2TlGe at its relaxed geometry, from Alexandria via LeMat-Bulk.

Lattice parameters (Å, degrees): 4.5413 4.5413 19.0400 90.00 90.00 90.00
Last column: nearest neighbours and their distance in Å.
Space group I-42d (No. 122)
Inequivalent atoms, fractional coordinates:
Mg  0.2361  0.2500  0.1250  2 Ge 2.85, 2 Tl 2.90, 2 Mg 3.12
Tl  0.0000  0.0000  0.5000  4 Mg 2.90, 4 Ge 3.21
Ge  0.0000  0.0000  0.0000  4 Mg 2.85

DOS at the Fermi energy ... 0.3918 states/eV/atom
Total magnetization ... 0.00 μB/f.u.
E_form ... 12.0 kJ/mol of atoms

No. 3
The following is a PBE calculation of crystalline InPbCl2 at its relaxed geometry, from Alexandria via LeMat-Bulk.

Lattice parameters (Å, degrees): 4.9904 4.9904 8.6344 90.00 90.00 90.00
Last column: nearest neighbours and their distance in Å.
Space group I4/mmm (No. 139)
Inequivalent atoms, fractional coordinates:
In  0.0000  0.0000  0.0000  8 Cl 3.30, 4 Pb 3.53
Pb  0.0000  0.0000  0.5000  8 Cl 3.30, 4 In 3.53
Cl  0.0000  0.5000  0.2500  4 In 3.30, 4 Pb 3.30, 4 Cl 3.53

E above lowest polymorph ... 148.5 meV per atom
DOS at the Fermi energy ... 0.5137 states/eV/atom
Total magnetization ... 0.00 μB/f.u.

No. 4
The following is a PBE calculation of crystalline Ca2PmCd4 at its relaxed geometry, from Alexandria via LeMat-Bulk.

Lattice parameters (Å, degrees): 5.5597 5.5597 13.6108 90.00 90.00 90.00
Last column: nearest neighbours and their distance in Å.
Space group I4/mmm (No. 139)
Inequivalent atoms, fractional coordinates:
Ca  0.0000  0.0000  0.2354  8 Cd 3.22-3.44, 1 Pm 3.60
Pm  0.0000  0.0000  0.5000  8 Cd 3.20
Cd  0.0000  0.5000  0.1161  1 Cd 3.16, 2 Pm 3.20, 4 Ca 3.22-3.44

DOS at the Fermi energy ... 0.9345 states/eV/atom
Total magnetization ... 0.00 μB/f.u.
E_form ... -17.8 kJ/mol of atoms

No. 5
The following is a PBE calculation of crystalline Ni4Pt3Rh2 at its relaxed geometry, from Alexandria via LeMat-Bulk.

Lattice parameters (Å, degrees): 11.3853 3.7675 5.9498 90.00 108.11 90.00
Last column: nearest neighbours and their distance in Å.
Space group C2/m (No. 12)
Inequivalent atoms, fractional coordinates:
Ni  0.0583  0.0000  0.3333  6 Pt 2.62-2.74, 2 Rh 2.63-2.72, 4 Ni 2.65-2.71
Ni  0.2222  0.5000  0.3343  4 Pt 2.57-2.69, 5 Ni 2.65-2.66, 3 Rh 2.66-2.68
Pt  0.0000  0.5000  0.0000  6 Ni 2.67-2.69, 4 Rh 2.68, 2 Pt 2.75
Pt  0.1142  0.5000  0.6549  7 Ni 2.57-2.74, 3 Rh 2.68-2.72, 2 Pt 2.68-2.75
Rh  0.1675  0.0000  0.0025  5 Ni 2.63-2.72, 2 Rh 2.67, 5 Pt 2.68-2.72

E above lowest polymorph ... 0.0 meV per atom
DOS at the Fermi energy ... 1.4891 states/eV/atom
Total magnetization ... 5.51 μB/f.u.
E_form ... -3.1 kJ/mol of atoms

No. 6
The following is a PBE calculation of crystalline LaMn2V at its relaxed geometry, from Alexandria via LeMat-Bulk.

Lattice parameters (Å, degrees): 4.6051 4.6051 15.7137 90.00 90.00 90.00
Last column: nearest neighbours and their distance in Å.
Space group I4_1/amd (No. 141, origin choice 2)
Inequivalent atoms, fractional coordinates:
La  0.0000  0.2500  0.3750  8 Mn 3.24, 4 V 3.26
Mn  0.0000  0.0000  0.0000  2 V 2.28, 2 Mn 2.30
V  0.0000  0.2500  0.8750  4 Mn 2.28

E above lowest polymorph ... 234.7 meV per atom
DOS at the Fermi energy ... 1.1233 states/eV/atom
Total magnetization ... 1.06 μB/f.u.
E_form ... 62.7 kJ/mol of atoms

No. 7
The following is a PBE calculation of crystalline SrMn2Au2 at its relaxed geometry, from Alexandria via LeMat-Bulk.

Lattice parameters (Å, degrees): 8.0010 8.0010 3.1463 90.00 90.00 90.00
Last column: nearest neighbours and their distance in Å.
Space group P4/mbm (No. 127)
Inequivalent atoms, fractional coordinates:
Sr  0.0000  0.0000  0.0000  2 Sr 3.15, 4 Mn 3.17, 8 Au 3.36
Mn  0.1234  0.3766  0.0000  1 Mn 2.79, 6 Au 2.82-2.85
Au  0.1695  0.6695  0.5000  6 Mn 2.82-2.85, 2 Au 3.15

DOS at the Fermi energy ... 0.4611 states/eV/atom
Total magnetization ... 8.10 μB/f.u.
E_form ... -4.2 kJ/mol of atoms

No. 8
The following is a PBE calculation of crystalline LaZrTa2 at its relaxed geometry, from Alexandria via LeMat-Bulk.

Lattice parameters (Å, degrees): 9.6765 3.0016 6.3442 90.00 93.14 90.00
Last column: nearest neighbours and their distance in Å.
Space group Cm (No. 8)
Inequivalent atoms, fractional coordinates:
La  0.0000  0.0000  0.0000  2 La 3.00, 1 Zr 3.02, 1 Ta 3.05
Zr  0.2645  0.5000  0.2939  5 Ta 2.96-3.06, 2 Zr 3.00, 1 La 3.02
Ta  0.0031  0.5000  0.5165  5 Ta 2.87-3.00, 3 Zr 2.96-3.04
Ta  0.2423  0.0000  0.7115  5 Ta 2.87-3.00, 1 La 3.05, 2 Zr 3.06

E above lowest polymorph ... 185.9 meV per atom
DOS at the Fermi energy ... 1.2119 states/eV/atom
Total magnetization ... 0.00 μB/f.u.
E_form ... 37.8 kJ/mol of atoms

No. 9
The following is a PBE calculation of crystalline La2SiAs at its relaxed geometry, from Alexandria via LeMat-Bulk.

Lattice parameters (Å, degrees): 4.3734 4.3734 10.9184 90.00 90.00 90.00
Last column: nearest neighbours and their distance in Å.
Space group I-4m2 (No. 119)
Inequivalent atoms, fractional coordinates:
La  0.0000  0.0000  0.0000  4 Si 3.09
La  0.0000  0.5000  0.2500  4 As 3.09
Si  0.0000  0.0000  0.5000  4 La 3.09
As  0.0000  0.5000  0.7500  4 La 3.09

E above lowest polymorph ... 373.4 meV per atom
DOS at the Fermi energy ... 0.5453 states/eV/atom
Total magnetization ... 0.00 μB/f.u.

No. 10
The following is a PBE calculation of crystalline K3TcI2Br6 at its relaxed geometry, from Alexandria via LeMat-Bulk.

Lattice parameters (Å, degrees): 17.0606 8.8656 6.2329 90.00 92.14 90.00
Last column: nearest neighbours and their distance in Å.
Space group C2/m (No. 12)
Inequivalent atoms, fractional coordinates:
K  0.0000  0.0000  0.0000  4 Br 3.39, 2 I 3.46
K  0.2500  0.2500  0.5000  4 Br 3.46-3.53, 2 I 3.53
Tc  0.0000  0.5000  0.5000  6 Br 2.51-2.53
I  0.2019  0.0000  0.0753  3 K 3.46-3.53, 1 Br 3.83
Br  0.0689  0.2986  0.7231  1 Tc 2.53
Br  0.1130  0.5000  0.2531  1 Tc 2.51

DOS at the Fermi energy ... 1.1941 states/eV/atom
Total magnetization ... 1.84 μB/f.u.
Raw total energy ... -3.13 eV per atom

No. 11
The following is a PBE calculation of crystalline CaTbDy2S4 at its relaxed geometry, from Alexandria via LeMat-Bulk.

Lattice parameters (Å, degrees): 6.8171 3.9177 6.8218 90.00 109.17 90.00
Last column: nearest neighbours and their distance in Å.
Space group P2/m (No. 10)
Inequivalent atoms, fractional coordinates:
Ca  0.0000  0.0000  0.0000  6 S 2.78-2.80
Tb  0.0000  0.5000  0.5000  6 S 2.79
Dy  0.5000  0.0000  0.5000  6 S 2.77
Dy  0.5000  0.5000  0.0000  6 S 2.77
S  0.2518  0.0000  0.7510  3 Dy 2.77, 1 Ca 2.78, 2 Tb 2.79
S  0.2532  0.5000  0.2518  3 Dy 2.77, 1 Tb 2.79, 2 Ca 2.80

DOS at the Fermi energy ... 0.3121 states/eV/atom
Total magnetization ... 0.00 μB/f.u.
Raw total energy ... -6.07 eV per atom

No. 12
The following is a PBE calculation of crystalline HfSb3Pb at its relaxed geometry, from Alexandria via LeMat-Bulk.

Lattice parameters (Å, degrees): 5.5311 5.5311 5.5311 90.00 90.00 90.00
Last column: nearest neighbours and their distance in Å.
Space group Pm-3m (No. 221)
Inequivalent atoms, fractional coordinates:
Hf  0.0000  0.0000  0.0000  6 Sb 2.77
Sb  0.0000  0.0000  0.5000  2 Hf 2.77
Pb  0.5000  0.5000  0.5000  12 Sb 3.91

E above lowest polymorph ... 0.0 meV per atom
DOS at the Fermi energy ... 0.7255 states/eV/atom
Total magnetization ... 0.00 μB/f.u.

No. 13
The following is a PBE calculation of crystalline Hg2SeBr at its relaxed geometry, from Alexandria via LeMat-Bulk.

Lattice parameters (Å, degrees): 4.0795 8.0874 7.9981 90.00 90.00 90.00
Last column: nearest neighbours and their distance in Å.
Space group Cmmm (No. 65)
Inequivalent atoms, fractional coordinates:
Hg  0.0000  0.0000  0.2285  2 Se 2.74, 2 Br 2.98
Se  0.0000  0.5000  0.0000  4 Hg 2.74
Br  0.0000  0.5000  0.5000  4 Hg 2.98

E above lowest polymorph ... 170.5 meV per atom
DOS at the Fermi energy ... 0.1383 states/eV/atom
Total magnetization ... 0.00 μB/f.u.

No. 14
The following is a PBE calculation of crystalline Ba5Sb4 at its relaxed geometry, from Alexandria via LeMat-Bulk.

Lattice parameters (Å, degrees): 18.0097 9.1469 9.1893 90.00 90.00 90.00
Last column: nearest neighbours and their distance in Å.
Space group Cmce (No. 64)
Inequivalent atoms, fractional coordinates:
Ba  0.0000  0.0000  0.0000  6 Sb 3.57-3.70
Ba  0.1461  0.1685  0.3358  6 Sb 3.51-3.89
Sb  0.0000  0.1132  0.6129  1 Sb 2.93
Sb  0.1981  0.0000  0.0000  7 Ba 3.51-3.57

E above lowest polymorph ... 0.0 meV per atom
DOS at the Fermi energy ... 0.0221 states/eV/atom
Total magnetization ... 0.00 μB/f.u.

No. 15
The following is a PBE calculation of crystalline NdDy8Er3 at its relaxed geometry, from Alexandria via LeMat-Bulk.

Lattice parameters (Å, degrees): 6.4172 11.2352 11.3477 90.00 90.00 90.00
Last column: nearest neighbours and their distance in Å.
Space group Immm (No. 71)
Inequivalent atoms, fractional coordinates:
Nd  0.0000  0.0000  0.0000  8 Dy 3.30-3.42
Dy  0.0000  0.1681  0.2508  6 Dy 3.37-3.70, 4 Er 3.40-3.73, 1 Nd 3.42
Dy  0.2458  0.2579  0.0000  6 Dy 3.15-3.41, 1 Er 3.17, 1 Nd 3.30
Er  0.0000  0.0000  0.5000  8 Dy 3.17-3.40
Er  0.0000  0.5000  0.2415  6 Dy 3.72-3.73

DOS at the Fermi energy ... 1.2202 states/eV/atom
Total magnetization ... 0.00 μB/f.u.
E_form ... 32.3 kJ/mol of atoms

No. 16
The following is a PBE calculation of crystalline La2CdHgRh at its relaxed geometry, from Alexandria via LeMat-Bulk.

Lattice parameters (Å, degrees): 5.4232 5.4232 5.3103 90.00 90.00 90.00
Last column: nearest neighbours and their distance in Å.
Space group P4/mmm (No. 123)
Inequivalent atoms, fractional coordinates:
La  0.0000  0.5000  0.0000  2 Rh 2.71
Cd  0.0000  0.0000  0.5000  8 La 3.80, 4 Hg 3.83
Hg  0.5000  0.5000  0.5000  2 Rh 2.66
Rh  0.5000  0.5000  0.0000  2 Hg 2.66, 4 La 2.71

E above lowest polymorph ... 189.4 meV per atom
DOS at the Fermi energy ... 0.6146 states/eV/atom
Total magnetization ... 0.00 μB/f.u.
E_form ... -37.9 kJ/mol of atoms

No. 17
The following is a PBE calculation of crystalline Ba2CaY at its relaxed geometry, from Alexandria via LeMat-Bulk.

Lattice parameters (Å, degrees): 4.3310 4.3310 10.2440 90.00 90.00 90.00
Last column: nearest neighbours and their distance in Å.
Space group P4mm (No. 99)
Inequivalent atoms, fractional coordinates:
Ba  0.0000  0.0000  0.0000  4 Y 3.94, 4 Ba 4.33, 1 Ca 4.34
Ba  0.5000  0.5000  0.3175  4 Ca 4.05, 8 Ba 4.33-4.47, 1 Y 4.52
Ca  0.0000  0.0000  0.5762  4 Y 3.59
Y  0.5000  0.5000  0.7583  4 Ca 3.59, 4 Ba 3.94

E above lowest polymorph ... 0.0 meV per atom
DOS at the Fermi energy ... 1.3366 states/eV/atom
Total magnetization ... 0.00 μB/f.u.
E_form ... 12.8 kJ/mol of atoms

No. 18
The following is a PBE calculation of crystalline Tb4CdCu2 at its relaxed geometry, from Alexandria via LeMat-Bulk.

Lattice parameters (Å, degrees): 4.8946 4.8946 26.7671 90.00 90.00 120.00
Last column: nearest neighbours and their distance in Å.
Space group R-3m (No. 166, hexagonal axes)
Inequivalent atoms, fractional coordinates:
Tb  0.0000  0.0000  0.1158  3 Cu 3.10, 3 Cd 3.14
Tb  0.0000  0.0000  0.2958  4 Cu 2.83-2.94
Cd  0.0000  0.0000  0.5000  2 Cu 2.64
Cu  0.0000  0.0000  0.4015  1 Cd 2.64, 4 Tb 2.83-2.94

DOS at the Fermi energy ... 1.2117 states/eV/atom
Total magnetization ... 0.00 μB/f.u.
E_form ... -1.6 kJ/mol of atoms

No. 19
The following is a PBE calculation of crystalline CaP3O at its relaxed geometry, from Alexandria via LeMat-Bulk.

Lattice parameters (Å, degrees): 5.2085 5.2085 5.2085 90.00 90.00 90.00
Last column: nearest neighbours and their distance in Å.
Space group Pm-3m (No. 221)
Inequivalent atoms, fractional coordinates:
Ca  0.0000  0.0000  0.0000  6 P 2.60
P  0.0000  0.0000  0.5000  2 Ca 2.60
O  0.5000  0.5000  0.5000  12 P 3.68

E above lowest polymorph ... 1845.9 meV per atom
DOS at the Fermi energy ... 2.4340 states/eV/atom
Total magnetization ... 0.00 μB/f.u.

No. 20
The following is a PBE calculation of crystalline Ac5Sm4Y4 at its relaxed geometry, from Alexandria via LeMat-Bulk.

Lattice parameters (Å, degrees): 13.5777 13.5777 5.2811 90.00 90.00 90.00
Last column: nearest neighbours and their distance in Å.
Space group I4/m (No. 87)
Inequivalent atoms, fractional coordinates:
Ac  0.0000  0.0000  0.0000  8 Ac 3.81, 4 Y 3.84
Ac  0.0390  0.8013  0.5000  5 Y 3.64-3.80, 3 Sm 3.71, 4 Ac 3.81-3.89
Sm  0.0738  0.6121  0.0000  5 Sm 3.64-3.69, 3 Ac 3.71, 4 Y 3.75-3.84
Y  0.1563  0.2356  0.0000  6 Ac 3.64-3.84, 2 Y 3.69, 4 Sm 3.75-3.84

DOS at the Fermi energy ... 1.6395 states/eV/atom
Total magnetization ... 0.00 μB/f.u.
E_form ... 4.9 kJ/mol of atoms